[1]
Material: PmPr5Nd8
Method: DFT, PBE-GGA
State: relaxed

Cell: 8.7017 8.7017 8.7017 Å, 111.18 106.11 111.18°
Last column: nearest neighbours and their distance in Å.
Atoms (fractional coordinates):
1 Pm 0.2500 0.5000 0.7500  4 Nd 3.21
2 Pr 0.0331 0.3170 0.1357  8 Nd 3.47-3.70, 2 Pr 3.63
3 Pr 0.8643 0.8974 0.1813  8 Nd 3.47-3.70, 2 Pr 3.63
4 Pr 0.8187 0.6830 0.7161  8 Nd 3.47-3.70, 2 Pr 3.63
5 Pr 0.5000 0.0000 0.5000  8 Nd 3.23-3.44
6 Pr 0.2839 0.1026 0.9669  8 Nd 3.47-3.70, 2 Pr 3.63
7 Nd 0.1750 0.7358 0.0717  1 Pm 3.21, 3 Pr 3.23-3.51
8 Nd 0.9283 0.1033 0.6641  1 Pm 3.21, 3 Pr 3.23-3.51
9 Nd 0.7233 0.2536 0.3269  5 Pr 3.44-3.67, 3 Nd 3.72-3.78
10 Nd 0.6731 0.3964 0.9267  5 Pr 3.44-3.67, 3 Nd 3.72-3.78
11 Nd 0.5303 0.6036 0.2767  5 Pr 3.44-3.67, 3 Nd 3.72-3.78
12 Nd 0.5608 0.8967 0.8250  1 Pm 3.21, 3 Pr 3.23-3.51
13 Nd 0.3359 0.2642 0.4392  1 Pm 3.21, 3 Pr 3.23-3.51
14 Nd 0.0733 0.7464 0.4697  5 Pr 3.44-3.67, 3 Nd 3.72-3.78

Summary:
Raw total energy, eV/atom: -4.551
Symmetry: No. 82

***

[2]
Material: Pm6Pr3Nd2
Method: DFT, PBE-GGA
State: relaxed

Cell: 3.6742 6.3604 17.2494 Å, 89.99 90.00 106.70°
Last column: nearest neighbours and their distance in Å.
Atoms (fractional coordinates):
1 Pm 0.2733 0.5456 0.9093  7 Pm 3.67-3.68, 3 Pr 3.67, 2 Nd 3.67
2 Pm 0.5468 0.0923 0.8187  5 Pm 3.67-3.68, 4 Pr 3.67-3.68, 3 Nd 3.67-3.68
3 Pm 0.7267 0.4544 0.0907  7 Pm 3.67-3.68, 3 Pr 3.67, 2 Nd 3.67
4 Pm 0.4532 0.9077 0.1813  5 Pm 3.67-3.68, 4 Pr 3.67-3.68, 3 Nd 3.67-3.68
5 Pm 0.3640 0.7268 0.5455  5 Pm 3.67-3.68, 5 Pr 3.67-3.68, 2 Nd 3.68
6 Pm 0.6360 0.2732 0.4545  5 Pm 3.67-3.68, 5 Pr 3.67-3.68, 2 Nd 3.68
7 Pr 0.0000 0.0000 0.0000  10 Pm 3.67, 2 Pr 3.67
8 Pr 0.9087 0.8177 0.3635  7 Pm 3.67-3.68, 3 Nd 3.67-3.69, 2 Pr 3.67
9 Pr 0.0913 0.1823 0.6365  7 Pm 3.67-3.68, 3 Nd 3.67-3.69, 2 Pr 3.67
10 Nd 0.1802 0.3623 0.2721  7 Pm 3.67-3.68, 3 Pr 3.67-3.69, 2 Nd 3.67
11 Nd 0.8198 0.6377 0.7279  7 Pm 3.67-3.68, 3 Pr 3.67-3.69, 2 Nd 3.67

Summary:
Symmetry: No. 2
E above lowest polymorph, kJ/mol of atoms: 0.0

***

[3]
Material: PmPr4Nd8
Method: DFT, PBE-GGA
State: relaxed

Cell: 11.9471 11.9471 7.9429 Å, 90.00 138.77 120.00°
Last column: nearest neighbours and their distance in Å.
Atoms (fractional coordinates):
1 Pm 0.0000 0.5000 0.5000  2 Nd 3.04
2 Pr 0.0000 0.0000 0.0000  2 Nd 2.86
3 Pr 0.0000 0.5000 0.0000  6 Nd 3.46-3.61
4 Pr 0.5000 0.5000 0.0000  6 Nd 3.46-3.61
5 Pr 0.5000 0.0000 0.0000  6 Nd 3.46-3.61
6 Nd 0.5153 0.7577 0.2730  1 Pr 2.86, 1 Pm 3.04
7 Nd 0.4847 0.2423 0.7270  1 Pr 2.86, 1 Pm 3.04
8 Nd 0.3299 0.1650 0.9993  3 Nd 3.42-3.64, 3 Pr 3.42-3.46
9 Nd 0.1656 0.3306 0.0006  3 Nd 3.42-3.64, 3 Pr 3.42-3.46
10 Nd 0.6701 0.8350 0.0006  3 Pr 3.42-3.46, 3 Nd 3.42-3.64
11 Nd 0.1656 0.8350 0.0006  3 Nd 3.42-3.64, 3 Pr 3.42-3.46
12 Nd 0.8344 0.1650 0.9994  3 Nd 3.42-3.64, 3 Pr 3.42-3.46
13 Nd 0.8344 0.6694 0.9994  3 Pr 3.42-3.46, 3 Nd 3.42-3.64

Summary:
Raw total energy, eV/atom: -4.387
Symmetry: No. 166

***

[4]
Material: PmPr12Nd5
Method: DFT, PBE-GGA
State: relaxed

Cell: 15.7090 11.0999 5.2386 Å, 90.00 90.00 45.00°
Last column: nearest neighbours and their distance in Å.
Atoms (fractional coordinates):
1 Pm 0.0000 0.0000 0.0000  8 Pr 3.69, 4 Nd 3.70
2 Pr 0.8342 0.0000 0.4999  2 Nd 3.69, 2 Pm 3.69, 8 Pr 3.70-3.72
3 Pr 0.1658 0.0000 0.5001  2 Nd 3.69, 2 Pm 3.69, 8 Pr 3.70-3.72
4 Pr 0.6664 0.0000 0.9999  4 Nd 3.70, 8 Pr 3.70-3.72
5 Pr 0.3336 0.0000 0.0001  4 Nd 3.70, 8 Pr 3.70-3.72
6 Pr 0.3326 0.6668 0.0000  1 Pm 3.69, 3 Nd 3.69-3.70, 8 Pr 3.70-3.72
7 Pr 0.0006 0.6669 0.0000  1 Pm 3.69, 3 Nd 3.70, 8 Pr 3.70-3.72
8 Pr 0.9994 0.3331 0.0000  1 Pm 3.69, 3 Nd 3.70, 8 Pr 3.70-3.72
9 Pr 0.6674 0.3332 0.0000  1 Pm 3.69, 3 Nd 3.69-3.70, 8 Pr 3.70-3.72
10 Pr 0.4997 0.3333 0.5000  4 Nd 3.70, 8 Pr 3.70-3.72
11 Pr 0.8330 0.6667 0.5000  4 Nd 3.70, 8 Pr 3.70-3.72
12 Pr 0.1670 0.3333 0.5000  4 Nd 3.70, 8 Pr 3.70-3.72
13 Pr 0.5003 0.6667 0.5000  4 Nd 3.70, 8 Pr 3.70-3.72
14 Nd 0.5000 0.0000 0.5000  8 Pr 3.70, 4 Nd 3.70
15 Nd 0.1665 0.6669 0.5000  8 Pr 3.69-3.70, 2 Pm 3.70, 2 Nd 3.70
16 Nd 0.8335 0.3331 0.5000  8 Pr 3.69-3.70, 2 Pm 3.70, 2 Nd 3.70
17 Nd 0.6665 0.6669 0.0000  8 Pr 3.69-3.70, 4 Nd 3.70
18 Nd 0.3335 0.3331 0.0000  8 Pr 3.69-3.70, 4 Nd 3.70

Summary:
Raw total energy, eV/atom: -4.763
Symmetry: No. 65

***

[5]
Material: Pm3Pr4Nd4
Method: DFT, PBE-GGA
State: relaxed

Cell: 3.5994 5.8444 18.7707 Å, 81.19 84.48 89.99°
Last column: nearest neighbours and their distance in Å.
Atoms (fractional coordinates):
1 Pm 0.1366 0.6366 0.7275  2 Pm 3.60, 6 Nd 3.80-3.81, 6 Pr 3.82-3.97
2 Pm 0.8635 0.3634 0.2725  2 Pm 3.60, 6 Nd 3.80-3.81, 6 Pr 3.82-3.97
3 Pm 0.0000 0.0000 0.0000  2 Pm 3.60, 4 Pr 3.80-3.81, 8 Nd 3.81-3.83
4 Pr 0.5907 0.0916 0.8184  3 Nd 3.33-3.36, 2 Pr 3.60
5 Pr 0.2680 0.2677 0.4643  4 Nd 3.48-3.68, 6 Pr 3.60-3.68
6 Pr 0.7320 0.7323 0.5357  4 Nd 3.48-3.68, 6 Pr 3.60-3.68
7 Pr 0.4094 0.9085 0.1815  3 Nd 3.33-3.36, 2 Pr 3.60
8 Nd 0.5462 0.5472 0.9088  2 Pr 3.36, 3 Nd 3.37-3.60
9 Nd 0.4539 0.4529 0.0912  2 Pr 3.36, 3 Nd 3.37-3.60
10 Nd 0.3191 0.8184 0.3620  5 Pr 3.33-3.68, 2 Nd 3.60
11 Nd 0.6809 0.1816 0.6380  5 Pr 3.33-3.68, 2 Nd 3.60

Summary:
Symmetry: No. 2
E above lowest polymorph, kJ/mol of atoms: 0.0

***

[6]
Material: PmPr3Nd
Method: DFT, PBE-GGA
State: relaxed

Cell: 5.5529 7.4638 8.6991 Å, 90.00 90.00 90.00°
Last column: nearest neighbours and their distance in Å.
Atoms (fractional coordinates):
1 Pm 0.7500 0.7500 0.4393  7 Pr 3.37-3.57
2 Pm 0.2500 0.2500 0.5607  7 Pr 3.37-3.57
3 Pr 0.7500 0.7500 0.0521  1 Pm 3.37, 6 Pr 3.43-3.65
4 Pr 0.2500 0.2500 0.9479  1 Pm 3.37, 6 Pr 3.43-3.65
5 Pr 0.7500 0.0386 0.7450  2 Pr 3.16-3.43, 1 Pm 3.42, 2 Nd 3.52
6 Pr 0.7500 0.4614 0.7450  2 Pr 3.16-3.43, 1 Pm 3.42, 2 Nd 3.52
7 Pr 0.2500 0.9614 0.2550  2 Pr 3.16-3.43, 1 Pm 3.42, 2 Nd 3.52
8 Pr 0.2500 0.5386 0.2550  2 Pr 3.16-3.43, 1 Pm 3.42, 2 Nd 3.52
9 Nd 0.7500 0.2500 0.2652  6 Pr 3.52-3.91, 2 Pm 3.78
10 Nd 0.2500 0.7500 0.7348  6 Pr 3.52-3.91, 2 Pm 3.78

Summary:
Symmetry: No. 59
E above lowest polymorph, kJ/mol of atoms: 0.0

***

[7]
Material: Pm9PrNd2
Method: DFT, PBE-GGA
State: relaxed

Cell: 5.1728 5.1728 15.5218 Å, 90.00 90.00 90.00°
Last column: nearest neighbours and their distance in Å.
Atoms (fractional coordinates):
1 Pm 0.5000 0.5000 0.0000  4 Pr 3.66, 8 Pm 3.66
2 Pm 0.5000 0.5000 0.3336  8 Pm 3.66, 4 Nd 3.66
3 Pm 0.5000 0.5000 0.6664  8 Pm 3.66, 4 Nd 3.66
4 Pm 0.5000 0.0000 0.1672  2 Nd 3.65, 8 Pm 3.66, 2 Pr 3.66
5 Pm 0.5000 0.0000 0.5000  8 Pm 3.66, 4 Nd 3.66
6 Pm 0.5000 0.0000 0.8328  2 Nd 3.65, 8 Pm 3.66, 2 Pr 3.66
7 Pm 0.0000 0.5000 0.1672  2 Nd 3.65, 8 Pm 3.66, 2 Pr 3.66
8 Pm 0.0000 0.5000 0.5000  8 Pm 3.66, 4 Nd 3.66
9 Pm 0.0000 0.5000 0.8328  2 Nd 3.65, 8 Pm 3.66, 2 Pr 3.66
10 Pr 0.0000 0.0000 0.0000  12 Pm 3.66
11 Nd 0.0000 0.0000 0.3335  12 Pm 3.65-3.66
12 Nd 0.0000 0.0000 0.6665  12 Pm 3.65-3.66

Summary:
Symmetry: No. 123
E above lowest polymorph, kJ/mol of atoms: 0.0

***

[8]
Material: Pm8Pr3Nd2
Method: DFT, PBE-GGA
State: relaxed

Cell: 5.8026 7.7731 11.1116 Å, 110.47 90.03 90.00°
Last column: nearest neighbours and their distance in Å.
Atoms (fractional coordinates):
1 Pm 0.0007 0.6711 0.3422  2 Nd 3.42, 4 Pm 3.58-3.59
2 Pm 0.9993 0.3289 0.6578  2 Nd 3.42, 4 Pm 3.58-3.59
3 Pm 0.9996 0.1345 0.2690  2 Pr 3.59, 2 Nd 3.66-3.67, 6 Pm 3.73-3.96
4 Pm 0.0004 0.8655 0.7310  2 Pr 3.59, 2 Nd 3.66-3.67, 6 Pm 3.73-3.96
5 Pm 0.4998 0.6019 0.7871  1 Pr 3.17, 1 Pm 3.24, 1 Nd 3.55
6 Pm 0.4998 0.1852 0.7871  1 Pr 3.17, 1 Pm 3.24, 1 Nd 3.55
7 Pm 0.5002 0.8148 0.2129  1 Pr 3.17, 1 Pm 3.24, 1 Nd 3.55
8 Pm 0.5002 0.3981 0.2129  1 Pr 3.17, 1 Pm 3.24, 1 Nd 3.55
9 Pr 0.5000 0.0000 0.0000  4 Pm 3.17
10 Pr 0.0000 0.2895 0.0000  1 Pr 3.27, 6 Pm 3.59-3.65
11 Pr 0.0000 0.7105 0.0000  1 Pr 3.27, 6 Pm 3.59-3.65
12 Nd 0.4990 0.2420 0.4841  8 Pm 3.42-3.67
13 Nd 0.5010 0.7580 0.5159  8 Pm 3.42-3.67

Summary:
Symmetry: No. 12
E above lowest polymorph, kJ/mol of atoms: 6.8

***

The records above give, respectively, calculated density values of 6.58 6.80 6.35 6.57 6.74 6.56 6.93 6.62 Mg/m³.